Density functional theory data (PBE-GGA) for a relaxed structure of NbPd2I6.

Summary:
As for the uncorrected formation energy: -0.1426 eV/atom. The space-group type is C2/c.

abc: 7.337 9.307 9.307
angles: 84.18 83.42 83.42
Element x y z (fractional)
Nb: 0.250 0.107 0.893
Nb: 0.750 0.893 0.107
Pd: 0.158 0.614 0.751
Pd: 0.342 0.249 0.386
Pd: 0.842 0.386 0.249
Pd: 0.658 0.751 0.614
I: 0.337 0.738 0.519
I: 0.163 0.481 0.262
I: 0.663 0.262 0.481
I: 0.837 0.519 0.738
I: 0.851 0.874 0.374
I: 0.649 0.626 0.126
I: 0.149 0.126 0.626
I: 0.351 0.374 0.874
I: 0.101 0.817 0.956
I: 0.399 0.044 0.183
I: 0.899 0.183 0.044
I: 0.601 0.956 0.817


Density functional theory data (PBE-GGA) for a relaxed structure of Ac2NbSe6.

Summary:
As for the uncorrected formation energy: -1.3444 eV/atom. The space-group type is P2_1/c.

abc: 6.456 8.073 9.694
angles: 90.00 92.01 90.00
Element x y z (fractional)
Ac: 0.945 0.392 0.741
Ac: 0.555 0.892 0.759
Ac: 0.445 0.108 0.241
Ac: 0.055 0.608 0.259
Nb: 0.500 0.500 0.000
Nb: 0.000 0.000 0.500
Se: 0.919 0.982 0.237
Se: 0.836 0.709 0.542
Se: 0.839 0.666 0.958
Se: 0.661 0.166 0.542
Se: 0.664 0.209 0.958
Se: 0.581 0.482 0.263
Se: 0.081 0.018 0.763
Se: 0.164 0.291 0.458
Se: 0.161 0.334 0.042
Se: 0.339 0.834 0.458
Se: 0.336 0.791 0.042
Se: 0.419 0.518 0.737


Density functional theory data (PBE-GGA) for a relaxed structure of AlZnN3.

Summary:
As for the uncorrected formation energy: 1.8274 eV/atom. The space-group type is Pm-3m.

abc: 3.783 3.783 3.783
angles: 90.00 90.00 90.00
Element x y z (fractional)
Zn: 0.000 0.000 0.000
Al: 0.500 0.500 0.500
N: 0.000 0.500 0.000
N: 0.000 0.000 0.500
N: 0.500 0.000 0.000


Density functional theory data (PBE-GGA) for a relaxed structure of AcCuAgAu.

Summary:
Its formation energy is -0.271 eV per atom. The space-group type is F-43m.

abc: 5.109 5.109 5.109
angles: 60.00 60.00 60.00
Element x y z (fractional)
Ac: 0.000 0.000 0.000
Au: 0.750 0.750 0.750
Cu: 0.250 0.250 0.250
Ag: 0.500 0.500 0.500


Density functional theory data (PBE-GGA) for a relaxed structure of AcNiSn.

Summary:
Its formation energy is -0.525 eV per atom. The calculation puts the energy above the most stable polymorph in this dataset at 0.12 eV per formula unit. The space-group type is P-6m2.

abc: 4.597 4.476 4.476
angles: 120.00 90.00 90.00
Element x y z (fractional)
Ni: 0.166 0.667 0.333
Ac: 0.667 0.333 0.667
Sn: 0.167 0.000 0.000


Density functional theory data (PBE-GGA) for a relaxed structure of TlS6.

Summary:
As for the uncorrected formation energy: 0.0393 eV/atom. The space-group type is P2_1/c.

abc: 5.847 22.481 7.200
angles: 90.00 90.00 59.41
Element x y z (fractional)
Tl: 0.720 0.251 0.955
Tl: 0.280 0.749 0.045
Tl: 0.720 0.751 0.545
Tl: 0.280 0.249 0.455
S: 0.934 0.659 0.002
S: 0.066 0.341 0.998
S: 0.934 0.159 0.498
S: 0.066 0.841 0.502
S: 0.994 0.420 0.189
S: 0.652 0.582 0.777
S: 0.348 0.918 0.277
S: 0.006 0.080 0.689
S: 0.006 0.580 0.811
S: 0.348 0.418 0.223
S: 0.652 0.082 0.723
S: 0.994 0.920 0.311
S: 0.504 0.121 0.178
S: 0.496 0.879 0.822
S: 0.504 0.621 0.322
S: 0.496 0.379 0.678
S: 0.999 0.878 0.764
S: 0.001 0.122 0.236
S: 0.999 0.378 0.736
S: 0.001 0.622 0.264
S: 0.423 0.659 0.582
S: 0.577 0.341 0.418
S: 0.423 0.159 0.918
S: 0.577 0.841 0.082


no.,density (Mg/m³)
1,5.67
2,6.71
3,4.12
4,10.49
5,8.42
6,3.23